# CdNiF2

A relaxed CdNiF2 crystal (GGA+U, Alexandria via LeMat-Bulk). Values from VASP.

Structure (Quantum ESPRESSO input):
```
&SYSTEM
  ibrav = 0, nat = 4, ntyp = 3
/
ATOMIC_SPECIES
F 19.00 F.upf
Cd 112.41 Cd.upf
Ni 58.69 Ni.upf
CELL_PARAMETERS angstrom
1.7711 0.0000 8.1993
-0.8855 1.5338 8.1993
-0.8855 -1.5338 8.1993
ATOMIC_POSITIONS angstrom
F 0.0000 0.0000 21.5166
F 0.0000 0.0000 3.0814
Cd 0.0000 0.0000 0.0000
Ni 0.0000 0.0000 12.2990
```

Properties
theoretical density	5.20	g/cm3
space-group type	No. 166
VASP energy	-3.315	eV/atom
magnetization	1.9	Bohr magnetons per cell
Fermi-level density of states	0.5773	states/eV per atom